1.
The following is a DFT calculation (PBE) of a relaxed structure of HoCu2Pt4.

Structure (POSCAR):
```
HoCu2Pt4
1.0
4.218 -3.347 0.000
4.218 3.347 0.000
-3.123 0.000 4.088
Ho Cu Pt
1 2 4
Cartesian
0.000 0.000 0.000 Ho
3.437 0.000 1.020 Cu
1.876 0.000 3.068 Cu
3.725 -2.001 2.864 Pt
1.588 2.001 1.223 Pt
3.725 2.001 2.864 Pt
1.588 -2.001 1.223 Pt
```

Values from the calculation:
- formation energy from the elements (eV per atom) = -0.513


2.
The following is a DFT calculation (PBE) of a relaxed structure of CeBiS4.

Structure (POSCAR):
```
CeBiS4
1.0
4.691 -3.841 0.000
4.691 3.841 0.000
0.000 0.000 9.629
Ce Bi S
2 2 8
Cartesian
4.691 2.919 7.222 Ce
4.691 -2.919 2.407 Ce
4.691 0.803 2.407 Bi
4.691 -0.803 7.222 Bi
4.691 2.758 0.420 S
4.691 2.758 4.395 S
2.825 0.934 7.222 S
2.825 -0.934 2.407 S
6.558 0.934 7.222 S
6.558 -0.934 2.407 S
4.691 -2.758 5.234 S
4.691 -2.758 9.209 S
```

Values from the calculation:
- E_form (uncorrected) (meV per atom) = -751


3.
The following is a DFT calculation (PBE) of a relaxed structure of KLaAs2.

Structure (POSCAR):
```
KLaAs2
1.0
3.202 -3.972 0.000
3.202 3.972 0.000
0.000 0.000 4.102
K La As
1 1 2
Cartesian
0.000 0.000 0.000 K
3.202 0.000 0.000 La
1.601 1.986 2.051 As
1.601 -1.986 2.051 As
```

Values from the calculation:
- formation energy from the elements (eV per atom) = -0.650


4.
The following is a DFT calculation (PBE) of a relaxed structure of KCu4Se3.

Structure (POSCAR):
```
KCu4Se3
1.0
4.002 0.000 0.000
0.000 4.002 0.000
0.000 0.000 9.950
K Cu Se
1 4 3
Cartesian
0.000 0.000 0.000 K
0.000 2.001 3.361 Cu
0.000 2.001 6.589 Cu
2.001 0.000 3.361 Cu
2.001 0.000 6.589 Cu
0.000 0.000 4.975 Se
2.001 2.001 1.973 Se
2.001 2.001 7.977 Se
```

Values from the calculation:
- E_form (uncorrected) (meV per atom) = -367


5.
The following is a DFT calculation (PBE) of a relaxed structure of SmHoZn.

Structure (POSCAR):
```
SmHoZn
1.0
4.999 0.000 0.000
-2.500 4.329 0.000
0.000 0.000 3.712
Sm Ho Zn
1 1 1
Cartesian
0.000 0.000 0.000 Sm
0.000 2.886 2.008 Ho
2.500 1.443 1.206 Zn
```

Values from the calculation:
- formation energy from the elements (eV per atom) = -0.048


6.
The following is a DFT calculation (PBE) of a relaxed structure of LaSiRu2.

Structure (POSCAR):
```
LaSiRu2
1.0
3.070 0.000 0.000
0.000 3.070 0.000
0.000 0.000 7.462
La Si Ru
1 1 2
Cartesian
0.000 0.000 0.000 La
1.535 1.535 5.125 Si
0.000 0.000 3.889 Ru
1.535 1.535 2.233 Ru
```

Values from the calculation:
- E_form (uncorrected) (meV per atom) = -89


7.
The following is a DFT calculation (PBE) of a relaxed structure of SiMoBr.

Structure (POSCAR):
```
SiMoBr
1.0
3.361 0.000 0.000
0.000 1.809 10.083
0.000 -1.809 10.083
Si Mo Br
2 2 2
Cartesian
0.000 0.000 0.000 Si
0.000 0.000 8.446 Si
1.680 0.000 10.462 Mo
1.680 0.000 17.910 Mo
0.000 0.000 15.864 Br
1.680 0.000 2.508 Br
```

Values from the calculation:
- E_form (uncorrected) (meV per atom) = -195


8.
The following is a DFT calculation (PBE) of a relaxed structure of LaPr8Dy2.

Structure (POSCAR):
```
LaPr8Dy2
1.0
4.637 -8.439 0.000
4.637 8.439 0.000
-3.439 0.000 5.047
La Pr Dy
1 8 2
Cartesian
0.000 0.000 0.000 La
-0.320 2.033 3.455 Pr
4.637 4.972 0.000 Pr
-0.320 -2.033 3.455 Pr
3.221 0.000 1.028 Pr
2.615 0.000 4.019 Pr
6.156 2.033 1.591 Pr
4.637 -4.972 0.000 Pr
6.156 -2.033 1.591 Pr
2.918 3.200 2.523 Dy
2.918 -3.200 2.523 Dy
```

Values from the calculation:
- formation energy from the elements (eV per atom) = 0.128